# VTcHgSb2 (PBE, optimized geometry)
data_VTcHgSb2
_chemical_formula_sum 'V1 Tc1 Hg1 Sb2'
_cell_length_a 5.3593
_cell_length_b 5.3593
_cell_length_c 5.0370
_cell_angle_alpha 90.00
_cell_angle_beta 90.00
_cell_angle_gamma 90.00
_space_group_name_H-M_alt 'P 4/m m m'
_space_group_IT_number 123
_space_group_name_Hall '-P 4 2'
loop_
_atom_site_label
_atom_site_type_symbol
_atom_site_fract_x
_atom_site_fract_y
_atom_site_fract_z
_atom_site_occupancy
V1 V 0.0000 0.0000 0.0000 1
Tc1 Tc 0.5000 0.5000 0.0000 1
Hg1 Hg 0.5000 0.5000 0.5000 1
Sb1 Sb 0.0000 0.5000 0.5000 1
# Formation energy without anion corrections ... 197 kJ/mol of atoms